No. 1
# GeIr2W | the Alexandria database | GGA-PBE | relaxed
data_GeIr2W
_chemical_formula_sum 'Ge4 Ir8 W4'
_cell_length_a 5.616
_cell_length_b 5.616
_cell_length_c 11.171
_cell_angle_alpha 90.00
_cell_angle_beta 90.00
_cell_angle_gamma 90.00
_space_group_name_H-M_alt 'I -4 2 d'
_space_group_IT_number 122
_space_group_name_Hall 'I -4 2bw'
loop_
_atom_site_label
_atom_site_type_symbol
_atom_site_fract_x
_atom_site_fract_y
_atom_site_fract_z
Ge1 Ge 0.000 0.000 0.000
Ir1 Ir 0.246 0.250 0.125
W1 W 0.000 0.000 0.500
# DFT formation energy   503 meV per atom

***

No. 2
# Na10B13C7 | the Alexandria database | GGA-PBE | relaxed
data_Na10B13C7
_chemical_formula_sum 'Na20 B26 C14'
_cell_length_a 14.146
_cell_length_b 5.064
_cell_length_c 8.996
_cell_angle_alpha 90.00
_cell_angle_beta 108.35
_cell_angle_gamma 90.00
_space_group_name_H-M_alt 'C 1 2 1'
_space_group_IT_number 5
_space_group_name_Hall 'C 2y'
loop_
_atom_site_label
_atom_site_type_symbol
_atom_site_fract_x
_atom_site_fract_y
_atom_site_fract_z
Na1 Na 0.049 0.000 0.246
Na2 Na 0.051 0.503 0.757
Na3 Na 0.150 0.502 0.248
Na4 Na 0.151 0.000 0.754
Na5 Na 0.250 0.002 0.248
B1 B 0.000 0.152 0.500
B2 B 0.000 0.671 0.000
B3 B 0.000 0.823 0.500
B4 B 0.095 0.367 0.500
B5 B 0.100 0.171 0.000
B6 B 0.196 0.160 0.500
B7 B 0.196 0.829 0.500
B8 B 0.200 0.671 0.000
C1 C 0.000 0.336 0.000
C2 C 0.098 0.668 0.500
C3 C 0.100 0.836 0.999
C4 C 0.200 0.336 0.000
# Distance to the lowest polymorph of the same formula   0.023 eV per atom
# DFT formation energy   108 meV per atom

***

No. 3
# DyHo2Te4 | the Alexandria database | GGA-PBE | relaxed
data_DyHo2Te4
_chemical_formula_sum 'Dy2 Ho4 Te8'
_cell_length_a 16.232
_cell_length_b 4.329
_cell_length_c 7.543
_cell_angle_alpha 90.00
_cell_angle_beta 117.37
_cell_angle_gamma 90.00
_space_group_name_H-M_alt 'C 1 2/m 1'
_space_group_IT_number 12
_space_group_name_Hall '-C 2y'
loop_
_atom_site_label
_atom_site_type_symbol
_atom_site_fract_x
_atom_site_fract_y
_atom_site_fract_z
Dy1 Dy 0.000 0.000 0.000
Ho1 Ho 0.244 0.500 0.730
Te1 Te 0.121 0.000 0.453
Te2 Te 0.129 0.500 0.966
# ΔE_f (raw)   -1373 meV per atom
# Distance to the lowest polymorph of the same formula   0.000 eV per atom

***

| no. | mass density (g/cm3) | calculated total energy (eV/atom) |
| --- | --- | --- |
| 1 | 12.08 | -8.3203 |
| 2 | 2.47 | -5.3771 |
| 3 | 7.07 | -5.1337 |